# 1
The following is a DFT calculation (PBE) of a relaxed structure of Mg2GaHg2.

Values from the calculation:
Relative energy among the computed polymorphs ... 5 meV per atom
Fermi-level density of states ... 0.322 states/eV per atom
Magnetic moment ... 0.000 μB per atom
SG ... No. 36
Formation energy ... -10.64 kJ per mole of atoms

Cell and atoms, written as POSCAR:
```
Mg2GaHg2
1.0
2.156 -8.076 0.000
2.156 8.076 0.000
0.000 0.000 6.249
Mg Ga Hg
4 2 4
direct
0.005 0.995 0.500
0.194 0.806 0.948
0.806 0.194 0.448
0.995 0.005 0.000
0.396 0.604 0.727
0.604 0.396 0.227
0.189 0.811 0.446
0.414 0.586 0.257
0.586 0.414 0.757
0.811 0.189 0.946
```

# 2
The following is a DFT calculation (PBE) of a relaxed structure of LiNdMgPb.

Values from the calculation:
Fermi-level density of states ... 0.327 states/eV per atom
Magnetic moment ... 0.000 μB per atom
SG ... No. 216
Formation energy ... -21.54 kJ per mole of atoms

Cell and atoms, written as POSCAR:
```
LiNdMgPb
1.0
0.000 3.713 3.713
3.713 0.000 3.713
3.713 3.713 0.000
Li Nd Mg Pb
1 1 1 1
direct
0.000 0.000 0.000
0.250 0.250 0.250
0.750 0.750 0.750
0.500 0.500 0.500
```

# 3
The following is a DFT calculation (PBE) of a relaxed structure of Tb12Sn3O5.

Values from the calculation:
ΔE_f (raw) ... -1.638 eV per atom
Fermi-level density of states ... 0.856 states/eV per atom
Magnetic moment ... 0.000 μB per atom
SG ... No. 230

Cell and atoms, written as POSCAR:
```
Tb12Sn3O5
1.0
-7.827 7.827 7.827
7.827 -7.827 7.827
7.827 7.827 -7.827
Tb Sn O
48 12 20
direct
0.009 0.197 0.108
0.009 0.312 0.901
0.089 0.697 0.688
0.089 0.892 0.401
0.099 0.608 0.411
0.099 0.991 0.688
0.108 0.009 0.197
0.108 0.599 0.911
0.188 0.197 0.589
0.188 0.491 0.599
0.197 0.108 0.009
0.197 0.589 0.188
0.303 0.312 0.911
0.303 0.491 0.392
0.312 0.901 0.009
0.312 0.911 0.303
0.392 0.303 0.491
0.392 0.589 0.901
0.401 0.089 0.892
0.401 0.812 0.509
0.411 0.099 0.608
0.411 0.812 0.803
0.491 0.392 0.303
0.491 0.599 0.188
0.509 0.401 0.812
0.509 0.608 0.697
0.589 0.188 0.197
0.589 0.901 0.392
0.599 0.188 0.491
0.599 0.911 0.108
0.608 0.411 0.099
0.608 0.697 0.509
0.688 0.089 0.697
0.688 0.099 0.991
0.697 0.509 0.608
0.697 0.688 0.089
0.803 0.411 0.812
0.803 0.892 0.991
0.812 0.509 0.401
0.812 0.803 0.411
0.892 0.401 0.089
0.892 0.991 0.803
0.901 0.009 0.312
0.901 0.392 0.589
0.911 0.108 0.599
0.911 0.303 0.312
0.991 0.688 0.099
0.991 0.803 0.892
0.125 0.250 0.375
0.125 0.375 0.750
0.250 0.375 0.125
0.250 0.875 0.625
0.375 0.125 0.250
0.375 0.750 0.125
0.625 0.250 0.875
0.625 0.875 0.750
0.750 0.125 0.375
0.750 0.625 0.875
0.875 0.625 0.250
0.875 0.750 0.625
0.000 0.000 0.000
0.000 0.000 0.500
0.000 0.500 0.000
0.000 0.500 0.500
0.125 0.750 0.875
0.125 0.875 0.250
0.250 0.125 0.875
0.250 0.625 0.375
0.375 0.250 0.625
0.375 0.625 0.750
0.500 0.000 0.000
0.500 0.000 0.500
0.500 0.500 0.000
0.500 0.500 0.500
0.625 0.375 0.250
0.625 0.750 0.375
0.750 0.375 0.625
0.750 0.875 0.125
0.875 0.125 0.750
0.875 0.250 0.125
```

# 4
The following is a DFT calculation (PBE) of a relaxed structure of Pr5DyHoTm2.

Values from the calculation:
Fermi-level density of states ... 1.600 states/eV per atom
Magnetic moment ... 0.000 μB per atom
SG ... No. 36
Formation energy ... 13.89 kJ per mole of atoms

Cell and atoms, written as POSCAR:
```
Pr5DyHoTm2
1.0
2.823 -10.271 0.000
2.823 10.271 0.000
0.000 0.000 10.753
Pr Dy Ho Tm
10 2 2 4
direct
0.015 0.985 0.500
0.118 0.882 0.775
0.203 0.797 0.463
0.221 0.779 0.070
0.485 0.515 0.771
0.515 0.485 0.271
0.779 0.221 0.570
0.797 0.203 0.963
0.882 0.118 0.275
0.985 0.015 0.000
0.302 0.698 0.767
0.698 0.302 0.267
0.093 0.907 0.221
0.907 0.093 0.721
0.386 0.614 0.059
0.387 0.613 0.497
0.613 0.387 0.997
0.614 0.386 0.559
```

# 5
The following is a DFT calculation (PBE) of a relaxed structure of Al2Re2Mo.

Values from the calculation:
Fermi-level density of states ... 0.868 states/eV per atom
Magnetic moment ... 0.000 μB per atom
SG ... No. 127
Formation energy ... 12.02 kJ per mole of atoms

Cell and atoms, written as POSCAR:
```
Al2Re2Mo
1.0
6.860 0.000 0.000
0.000 6.860 0.000
0.000 0.000 3.145
Al Re Mo
4 4 2
direct
0.133 0.367 0.000
0.367 0.867 0.000
0.633 0.133 0.000
0.867 0.633 0.000
0.164 0.664 0.500
0.336 0.164 0.500
0.664 0.836 0.500
0.836 0.336 0.500
0.000 0.000 0.000
0.500 0.500 0.000
```

# 6
The following is a DFT calculation (PBE) of a relaxed structure of ZnRuS2Cl.

Values from the calculation:
Relative energy among the computed polymorphs ... 0 meV per atom
ΔE_f (raw) ... 0.220 eV per atom
Fermi-level density of states ... 0.774 states/eV per atom
Magnetic moment ... 0.000 μB per atom
SG ... No. 123

Cell and atoms, written as POSCAR:
```
ZnRuS2Cl
1.0
4.571 0.000 0.000
0.000 4.571 0.000
0.000 0.000 4.976
Zn Ru S Cl
1 1 2 1
direct
0.000 0.000 0.000
0.500 0.500 0.500
0.000 0.500 0.500
0.500 0.000 0.500
0.500 0.500 0.000
```